# Pu2PtO | Alexandria via LeMat-Bulk | GGA-PBE | optimized geometry
data_Pu2PtO
_space_group_name_H-M_alt 'P 4/m m m'
_space_group_IT_number 123
_space_group_name_Hall '-P 4 2'
_cell_length_a 3.189
_cell_length_b 3.189
_cell_length_c 7.095
_cell_angle_alpha 90.00
_cell_angle_beta 90.00
_cell_angle_gamma 90.00
loop_
_atom_site_label
_atom_site_type_symbol
_atom_site_fract_x
_atom_site_fract_y
_atom_site_fract_z
_atom_site_occupancy
Pu1 Pu 0.000 0.000 0.217 1
Pt1 Pt 0.500 0.500 0.500 1
O1 O 0.500 0.500 0.000 1
# Uncorrected formation energy: -1.22 eV per atom
# M_tot: 2.8805 μB per atom
# Energy relative to the lowest polymorph listed for this composition: 0.0 kJ/mol of atoms
# Raw total energy: -0.8187 Ry per atom
# D(E_F): 3.19 states/eV per atom

***

# SrTlZn | Alexandria via LeMat-Bulk | GGA-PBE | optimized geometry
data_SrTlZn
_space_group_name_H-M_alt 'C 1 2/m 1'
_space_group_IT_number 12
_space_group_name_Hall '-C 2y'
_cell_length_a 17.855
_cell_length_b 4.973
_cell_length_c 4.102
_cell_angle_alpha 90.00
_cell_angle_beta 102.73
_cell_angle_gamma 90.00
loop_
_atom_site_label
_atom_site_type_symbol
_atom_site_fract_x
_atom_site_fract_y
_atom_site_fract_z
_atom_site_occupancy
Sr1 Sr 0.113 0.000 0.360 1
Tl1 Tl 0.201 0.500 0.934 1
Zn1 Zn 0.040 0.500 0.789 1
# M_tot: 0.0000 μB per atom
# Energy of formation from the pure elements: -24.2 kJ/mol of atoms
# Raw total energy: -0.1488 Ry per atom
# D(E_F): 0.48 states/eV per atom

***

# TbDy6Tm5 | Alexandria via LeMat-Bulk | GGA-PBE | optimized geometry
data_TbDy6Tm5
_space_group_name_H-M_alt 'C m m m'
_space_group_IT_number 65
_space_group_name_Hall '-C 2 2'
_cell_length_a 4.967
_cell_length_b 14.921
_cell_length_c 9.928
_cell_angle_alpha 90.00
_cell_angle_beta 90.00
_cell_angle_gamma 90.00
loop_
_atom_site_label
_atom_site_type_symbol
_atom_site_fract_x
_atom_site_fract_y
_atom_site_fract_z
_atom_site_occupancy
Tb1 Tb 0.000 0.000 0.000 1
Dy1 Dy 0.000 0.167 0.251 1
Dy2 Dy 0.000 0.500 0.251 1
Tm1 Tm 0.000 0.000 0.500 1
Tm2 Tm 0.000 0.333 0.000 1
Tm3 Tm 0.000 0.333 0.500 1
# M_tot: 0.0000 μB per atom
# Energy of formation from the pure elements: 2.1 kJ/mol of atoms
# Raw total energy: -0.3329 Ry per atom
# D(E_F): 1.30 states/eV per atom

***

# Ac2PPd6Pb | Alexandria via LeMat-Bulk | GGA-PBE | optimized geometry
data_Ac2PPd6Pb
_space_group_name_H-M_alt 'P m m n'
_space_group_IT_number 59
_cell_length_a 5.747
_cell_length_b 9.038
_cell_length_c 8.535
_cell_angle_alpha 90.00
_cell_angle_beta 90.00
_cell_angle_gamma 90.00
loop_
_space_group_symop_operation_xyz
'x,y,z'
'-x,-y,-z'
'-x+1/2,-y+1/2,z'
'x+1/2,y+1/2,-z'
'x+1/2,-y,-z'
'-x+1/2,y,z'
'-x,y+1/2,-z'
'x,-y+1/2,z'
loop_
_atom_site_label
_atom_site_type_symbol
_atom_site_fract_x
_atom_site_fract_y
_atom_site_fract_z
_atom_site_occupancy
Ac1 Ac 0.250 0.001 0.237 1
P1 P 0.250 0.250 0.720 1
Pd1 Pd 0.002 0.750 0.506 1
Pd2 Pd 0.014 0.250 0.948 1
Pd3 Pd 0.250 0.005 0.607 1
Pb1 Pb 0.250 0.750 0.792 1
# M_tot: 0.0000 μB per atom
# Energy of formation from the pure elements: -69.8 kJ/mol of atoms
# Raw total energy: -0.4096 Ry per atom
# D(E_F): 0.35 states/eV per atom

***

# La12Pt3O5 | Alexandria via LeMat-Bulk | GGA-PBE | optimized geometry
data_La12Pt3O5
_space_group_name_H-M_alt 'I a -3 d'
_space_group_IT_number 230
_space_group_name_Hall '-I 4bd 2c 3'
_cell_length_a 16.074
_cell_length_b 16.074
_cell_length_c 16.074
_cell_angle_alpha 90.00
_cell_angle_beta 90.00
_cell_angle_gamma 90.00
loop_
_atom_site_label
_atom_site_type_symbol
_atom_site_fract_x
_atom_site_fract_y
_atom_site_fract_z
_atom_site_occupancy
La1 La 0.034 0.056 0.650 1
Pt1 Pt 0.000 0.250 0.125 1
O1 O 0.000 0.000 0.000 1
O2 O 0.000 0.250 0.375 1
# Uncorrected formation energy: -1.69 eV per atom
# M_tot: 0.1022 μB per atom
# Raw total energy: -0.4993 Ry per atom
# D(E_F): 1.19 states/eV per atom

***

# Tb9PmSm2 | Alexandria via LeMat-Bulk | GGA-PBE | optimized geometry
data_Tb9PmSm2
_space_group_name_H-M_alt 'P 6/m m m'
_space_group_IT_number 191
_space_group_name_Hall '-P 6 2'
_cell_length_a 11.3195
_cell_length_b 11.3195
_cell_length_c 3.5172
_cell_angle_alpha 90.00
_cell_angle_beta 90.00
_cell_angle_gamma 120.00
loop_
_atom_site_label
_atom_site_type_symbol
_atom_site_fract_x
_atom_site_fract_y
_atom_site_fract_z
_atom_site_occupancy
Tb1 Tb 0.0000 0.5000 0.0000 1
Tb2 Tb 0.1755 0.3510 0.5000 1
Pm1 Pm 0.0000 0.0000 0.0000 1
Sm1 Sm 0.3333 0.6667 0.0000 1
# M_tot: 0.0000 μB per atom
# Energy of formation from the pure elements: 4.7 kJ/mol of atoms
# Energy relative to the lowest polymorph listed for this composition: 3.0 kJ/mol of atoms
# Raw total energy: -0.3385 Ry per atom
# D(E_F): 1.38 states/eV per atom

***

# Nd2Dy4Er7 | Alexandria via LeMat-Bulk | GGA-PBE | optimized geometry
data_Nd2Dy4Er7
_space_group_name_H-M_alt 'P -3 1 m'
_space_group_IT_number 162
_space_group_name_Hall '-P 3 2'
_cell_length_a 6.0349
_cell_length_b 6.0349
_cell_length_c 13.3521
_cell_angle_alpha 90.00
_cell_angle_beta 90.00
_cell_angle_gamma 120.00
loop_
_atom_site_label
_atom_site_type_symbol
_atom_site_fract_x
_atom_site_fract_y
_atom_site_fract_z
_atom_site_occupancy
Nd1 Nd 0.3333 0.6667 0.0000 1
Dy1 Dy 0.0000 0.0000 0.3951 1
Dy2 Dy 0.3333 0.6667 0.5000 1
Er1 Er 0.0000 0.0000 0.0000 1
Er2 Er 0.0000 0.3499 0.2154 1
# M_tot: 0.0001 μB per atom
# Energy of formation from the pure elements: 17.9 kJ/mol of atoms
# Raw total energy: -0.3250 Ry per atom
# D(E_F): 1.34 states/eV per atom

***

# SrNdZn2Pd2 | Alexandria via LeMat-Bulk | GGA-PBE | optimized geometry
data_SrNdZn2Pd2
_space_group_name_H-M_alt 'P -3 m 1'
_space_group_IT_number 164
_space_group_name_Hall '-P 3 2"'
_cell_length_a 4.4583
_cell_length_b 4.4583
_cell_length_c 8.1204
_cell_angle_alpha 90.00
_cell_angle_beta 90.00
_cell_angle_gamma 120.00
loop_
_atom_site_label
_atom_site_type_symbol
_atom_site_fract_x
_atom_site_fract_y
_atom_site_fract_z
_atom_site_occupancy
Sr1 Sr 0.0000 0.0000 0.0000 1
Nd1 Nd 0.0000 0.0000 0.5000 1
Zn1 Zn 0.3333 0.6667 0.2695 1
Pd1 Pd 0.3333 0.6667 0.7229 1
# M_tot: 0.0000 μB per atom
# Energy of formation from the pure elements: -59.2 kJ/mol of atoms
# Raw total energy: -0.2825 Ry per atom
# D(E_F): 0.70 states/eV per atom

***

# CuRe2Si2 | Alexandria via LeMat-Bulk | GGA-PBE | optimized geometry
data_CuRe2Si2
_space_group_name_H-M_alt 'P 4/m b m'
_space_group_IT_number 127
_space_group_name_Hall '-P 4 2ab'
_cell_length_a 6.790
_cell_length_b 6.790
_cell_length_c 3.098
_cell_angle_alpha 90.00
_cell_angle_beta 90.00
_cell_angle_gamma 90.00
loop_
_atom_site_label
_atom_site_type_symbol
_atom_site_fract_x
_atom_site_fract_y
_atom_site_fract_z
_atom_site_occupancy
Cu1 Cu 0.000 0.000 0.000 1
Re1 Re 0.147 0.353 0.000 1
Si1 Si 0.149 0.649 0.500 1
# Uncorrected formation energy: 0.04 eV per atom
# M_tot: 0.0000 μB per atom
# Energy relative to the lowest polymorph listed for this composition: 0.0 kJ/mol of atoms
# Raw total energy: -0.5828 Ry per atom
# D(E_F): 0.60 states/eV per atom

***

# KThCuO4 | Alexandria via LeMat-Bulk | GGA-PBE | optimized geometry
data_KThCuO4
_space_group_name_H-M_alt 'I m m a'
_space_group_IT_number 74
_space_group_name_Hall '-I 2b 2'
_cell_length_a 5.855
_cell_length_b 7.225
_cell_length_c 11.367
_cell_angle_alpha 90.00
_cell_angle_beta 90.00
_cell_angle_gamma 90.00
loop_
_atom_site_label
_atom_site_type_symbol
_atom_site_fract_x
_atom_site_fract_y
_atom_site_fract_z
_atom_site_occupancy
K1 K 0.000 0.250 0.186 1
Th1 Th 0.000 0.000 0.500 1
Cu1 Cu 0.250 0.250 0.750 1
O1 O 0.000 0.085 0.721 1
O2 O 0.224 0.250 0.477 1
# Uncorrected formation energy: -1.95 eV per atom
# M_tot: 0.0000 μB per atom
# Raw total energy: -0.4842 Ry per atom
# D(E_F): 0.63 states/eV per atom

***

# Ho2MnZn2Rh5 | Alexandria via LeMat-Bulk | GGA-PBE | optimized geometry
data_Ho2MnZn2Rh5
_space_group_name_H-M_alt 'P 4/m b m'
_space_group_IT_number 127
_space_group_name_Hall '-P 4 2ab'
_cell_length_a 9.594
_cell_length_b 9.594
_cell_length_c 3.610
_cell_angle_alpha 90.00
_cell_angle_beta 90.00
_cell_angle_gamma 90.00
loop_
_atom_site_label
_atom_site_type_symbol
_atom_site_fract_x
_atom_site_fract_y
_atom_site_fract_z
_atom_site_occupancy
Ho1 Ho 0.173 0.327 0.000 1
Mn1 Mn 0.000 0.000 0.000 1
Zn1 Zn 0.125 0.625 0.000 1
Rh1 Rh 0.000 0.500 0.500 1
Rh2 Rh 0.068 0.801 0.500 1
# M_tot: 0.4265 μB per atom
# Energy of formation from the pure elements: -48.6 kJ/mol of atoms
# Raw total energy: -0.4606 Ry per atom
# D(E_F): 0.73 states/eV per atom

***

# CePa2MoN5 | Alexandria via LeMat-Bulk | GGA-PBE | optimized geometry
data_CePa2MoN5
_space_group_name_H-M_alt 'I 4/m c m'
_space_group_IT_number 140
_space_group_name_Hall '-I 4 2c'
_cell_length_a 6.589
_cell_length_b 6.589
_cell_length_c 11.578
_cell_angle_alpha 90.00
_cell_angle_beta 90.00
_cell_angle_gamma 90.00
loop_
_atom_site_label
_atom_site_type_symbol
_atom_site_fract_x
_atom_site_fract_y
_atom_site_fract_z
_atom_site_occupancy
Ce1 Ce 0.000 0.000 0.250 1
Pa1 Pa 0.174 0.326 0.000 1
Mo1 Mo 0.000 0.500 0.250 1
N1 N 0.000 0.000 0.000 1
N2 N 0.154 0.346 0.365 1
# Uncorrected formation energy: -1.24 eV per atom
# M_tot: 0.0698 μB per atom
# Raw total energy: -0.7234 Ry per atom
# D(E_F): 0.94 states/eV per atom

***

# KFe2Hg | Alexandria via LeMat-Bulk | GGA-PBE | optimized geometry
data_KFe2Hg
_space_group_name_H-M_alt 'C 1 2/m 1'
_space_group_IT_number 12
_space_group_name_Hall '-C 2y'
_cell_length_a 5.982
_cell_length_b 10.644
_cell_length_c 2.793
_cell_angle_alpha 90.00
_cell_angle_beta 114.22
_cell_angle_gamma 90.00
loop_
_atom_site_label
_atom_site_type_symbol
_atom_site_fract_x
_atom_site_fract_y
_atom_site_fract_z
_atom_site_occupancy
K1 K 0.000 0.000 0.000 1
Fe1 Fe 0.250 0.250 0.500 1
Hg1 Hg 0.000 0.500 0.000 1
# M_tot: 1.4323 μB per atom
# Energy of formation from the pure elements: 96.2 kJ/mol of atoms
# Raw total energy: -0.2634 Ry per atom
# D(E_F): 1.35 states/eV per atom

***

# KMgHg2Br6 | Alexandria via LeMat-Bulk | GGA-PBE | optimized geometry
data_KMgHg2Br6
_space_group_name_H-M_alt 'P 1'
_space_group_IT_number 1
_space_group_name_Hall 'P 1'
_cell_length_a 7.329
_cell_length_b 7.331
_cell_length_c 8.248
_cell_angle_alpha 63.64
_cell_angle_beta 89.98
_cell_angle_gamma 60.02
loop_
_atom_site_label
_atom_site_type_symbol
_atom_site_fract_x
_atom_site_fract_y
_atom_site_fract_z
_atom_site_occupancy
K1 K 0.000 0.000 0.000 1
Mg1 Mg 0.483 0.034 0.447 1
Hg1 Hg 0.293 0.414 0.879 1
Hg2 Hg 0.810 0.379 0.431 1
Br1 Br 0.090 0.456 0.211 1
Br2 Br 0.232 0.911 0.660 1
Br3 Br 0.454 0.879 0.211 1
Br4 Br 0.572 0.197 0.660 1
Br5 Br 0.666 0.244 0.211 1
Br6 Br 0.857 0.572 0.660 1
# Uncorrected formation energy: -0.91 eV per atom
# M_tot: 0.0000 μB per atom
# Raw total energy: -0.1650 Ry per atom
# D(E_F): 0.31 states/eV per atom

***

# DyHoGaSn | Alexandria via LeMat-Bulk | GGA-PBE | optimized geometry
data_DyHoGaSn
_space_group_name_H-M_alt 'A m m 2'
_space_group_IT_number 38
_space_group_name_Hall 'A 2 -2'
_cell_length_a 4.151
_cell_length_b 4.449
_cell_length_c 11.113
_cell_angle_alpha 90.00
_cell_angle_beta 90.00
_cell_angle_gamma 90.00
loop_
_atom_site_label
_atom_site_type_symbol
_atom_site_fract_x
_atom_site_fract_y
_atom_site_fract_z
_atom_site_occupancy
Dy1 Dy 0.000 0.000 0.000 1
Ho1 Ho 0.500 0.000 0.279 1
Ga1 Ga 0.500 0.000 0.548 1
Sn1 Sn 0.000 0.000 0.716 1
# M_tot: 0.0000 μB per atom
# Energy of formation from the pure elements: -67.0 kJ/mol of atoms
# Energy relative to the lowest polymorph listed for this composition: 0.0 kJ/mol of atoms
# Raw total energy: -0.3489 Ry per atom
# D(E_F): 0.85 states/eV per atom

***

# LiAsIrO5 | Alexandria via LeMat-Bulk | GGA-PBE | optimized geometry
data_LiAsIrO5
_space_group_name_H-M_alt 'C 1 2/c 1'
_space_group_IT_number 15
_space_group_name_Hall '-C 2yc'
_cell_length_a 6.625
_cell_length_b 8.662
_cell_length_c 7.157
_cell_angle_alpha 90.00
_cell_angle_beta 113.93
_cell_angle_gamma 90.00
loop_
_atom_site_label
_atom_site_type_symbol
_atom_site_fract_x
_atom_site_fract_y
_atom_site_fract_z
_atom_site_occupancy
Li1 Li 0.000 0.179 0.250 1
As1 As 0.000 0.183 0.750 1
Ir1 Ir 0.000 0.500 0.000 1
O1 O 0.000 0.412 0.250 1
O2 O 0.137 0.294 0.636 1
O3 O 0.178 0.057 0.930 1
# Uncorrected formation energy: -1.18 eV per atom
# M_tot: 0.0153 μB per atom
# Raw total energy: -0.4558 Ry per atom
# D(E_F): 0.37 states/eV per atom

***

# In2Sn2Te | Alexandria via LeMat-Bulk | GGA-PBE | optimized geometry
data_In2Sn2Te
_space_group_name_H-M_alt 'I 4/m m m'
_space_group_IT_number 139
_space_group_name_Hall '-I 4 2'
_cell_length_a 4.243
_cell_length_b 4.243
_cell_length_c 16.560
_cell_angle_alpha 90.00
_cell_angle_beta 90.00
_cell_angle_gamma 90.00
loop_
_atom_site_label
_atom_site_type_symbol
_atom_site_fract_x
_atom_site_fract_y
_atom_site_fract_z
_atom_site_occupancy
In1 In 0.000 0.000 0.095 1
Sn1 Sn 0.000 0.500 0.250 1
Te1 Te 0.000 0.000 0.500 1
# Uncorrected formation energy: 0.03 eV per atom
# M_tot: 0.0000 μB per atom
# Energy relative to the lowest polymorph listed for this composition: 0.0 kJ/mol of atoms
# Raw total energy: -0.2422 Ry per atom
# D(E_F): 0.56 states/eV per atom

***

# AlCr2Mo | Alexandria via LeMat-Bulk | GGA-PBE | optimized geometry
data_AlCr2Mo
_space_group_name_H-M_alt 'F -4 3 m'
_space_group_IT_number 216
_space_group_name_Hall 'F -4 2 3'
_cell_length_a 6.061
_cell_length_b 6.061
_cell_length_c 6.061
_cell_angle_alpha 90.00
_cell_angle_beta 90.00
_cell_angle_gamma 90.00
loop_
_atom_site_label
_atom_site_type_symbol
_atom_site_fract_x
_atom_site_fract_y
_atom_site_fract_z
_atom_site_occupancy
Al1 Al 0.000 0.000 0.000 1
Cr1 Cr 0.000 0.000 0.500 1
Cr2 Cr 0.250 0.250 0.250 1
Mo1 Mo 0.250 0.250 0.750 1
# M_tot: 0.5832 μB per atom
# Energy of formation from the pure elements: 4.6 kJ/mol of atoms
# Raw total energy: -0.6179 Ry per atom
# D(E_F): 0.90 states/eV per atom

***

# Hf2RePO | Alexandria via LeMat-Bulk | GGA-PBE | optimized geometry
data_Hf2RePO
_space_group_name_H-M_alt 'P 4/m m m'
_space_group_IT_number 123
_space_group_name_Hall '-P 4 2'
_cell_length_a 5.065
_cell_length_b 5.065
_cell_length_c 4.372
_cell_angle_alpha 90.00
_cell_angle_beta 90.00
_cell_angle_gamma 90.00
loop_
_atom_site_label
_atom_site_type_symbol
_atom_site_fract_x
_atom_site_fract_y
_atom_site_fract_z
_atom_site_occupancy
Hf1 Hf 0.000 0.500 0.000 1
Re1 Re 0.000 0.000 0.000 1
P1 P 0.000 0.000 0.500 1
O1 O 0.500 0.500 0.500 1
# Uncorrected formation energy: 0.53 eV per atom
# M_tot: 0.0000 μB per atom
# Raw total energy: -0.5888 Ry per atom
# D(E_F): 0.59 states/eV per atom